The following is a PBE-GGA calculation of an optimized crystal structure of YTc2Se, from the Alexandria database.

abc: 5.306 8.570 3.220
angles: 90.00 90.00 90.00
Space group Cmmm (No. 65)
One atom of each set of equivalent atoms:
Y1 0.000 0.000 0.000 (multiplicity 2)
Tc1 0.250 0.250 0.500 (multiplicity 4)
Se1 0.000 0.500 0.000 (multiplicity 2)

***

The following is a PBE-GGA calculation of an optimized crystal structure of YTc2Se, from the Alexandria database.

abc: 4.054 4.054 19.299
angles: 90.00 90.00 90.00
Space group I-42d (No. 122)
One atom of each set of equivalent atoms:
Y1 0.000 0.000 0.000 (multiplicity 4)
Tc1 0.162 0.250 0.625 (multiplicity 8)
Se1 0.000 0.000 0.500 (multiplicity 4)

***

The following is a PBE-GGA calculation of an optimized crystal structure of YTc3Se, from the Alexandria database.

abc: 4.609 4.609 4.609
angles: 90.00 90.00 90.00
Space group Pm-3m (No. 221)
One atom of each set of equivalent atoms:
Y1 0.000 0.000 0.000 (multiplicity 1)
Tc1 0.000 0.500 0.500 (multiplicity 3)
Se1 0.500 0.500 0.500 (multiplicity 1)

***

The following is a PBE-GGA calculation of an optimized crystal structure of Y2TcSe, from the Alexandria database.

abc: 7.499 7.499 6.816
angles: 90.00 90.00 90.00
Space group I-42d (No. 122)
One atom of each set of equivalent atoms:
Y1 0.238 0.250 0.125 (multiplicity 8)
Tc1 0.000 0.000 0.000 (multiplicity 4)
Se1 0.000 0.000 0.500 (multiplicity 4)

***

The following is a PBE-GGA calculation of an optimized crystal structure of YTcSe3, from the Alexandria database.

abc: 5.405 5.405 5.405
angles: 90.00 90.00 90.00
Space group Pm-3m (No. 221)
One atom of each set of equivalent atoms:
Y1 0.000 0.000 0.000 (multiplicity 1)
Tc1 0.500 0.500 0.500 (multiplicity 1)
Se1 0.000 0.000 0.500 (multiplicity 3)

***

The following is a PBE-GGA calculation of an optimized crystal structure of Y2TcSe, from the Alexandria database.

abc: 5.022 5.032 6.949
angles: 90.00 90.00 90.00
Space group Cmmm (No. 65)
One atom of each set of equivalent atoms:
Y1 0.000 0.000 0.238 (multiplicity 4)
Tc1 0.000 0.500 0.000 (multiplicity 2)
Se1 0.000 0.500 0.500 (multiplicity 2)

***

| no. | formation energy from raw total energies (eV/atom) |
| --- | --- |
| 1 | 0.2889 |
| 2 | 0.0376 |
| 3 | 0.4694 |
| 4 | -0.1374 |
| 5 | 0.3105 |
| 6 | -0.6918 |